[1]
Ac2Hg: relaxed, GGA-PBE.

Calculated values
ΔH_f (0 K)   -29.93 kJ/mol of atoms
D(E_F)   4.192 states/eV/cell
Total DFT energy (no corrections)   -0.232 Ry/atom
Space-group type   I4/mmm, No. 139

Lattice parameters (Å, degrees): 4.0446 4.0446 7.4494 105.73 105.73 89.97
Element x y z (fractional)
1 Ac 0.1458 0.1458 0.2925
2 Ac 0.8542 0.8542 0.7075
3 Hg 0.5000 0.5000 0.0000

---

[2]
Ac2Hg13: relaxed, GGA-PBE.

Calculated values
ΔH_f (0 K)   -20.87 kJ/mol of atoms
D(E_F)   6.208 states/eV/cell
Total DFT energy (no corrections)   -0.075 Ry/atom
Space-group type   P-1, No. 2

Lattice parameters (Å, degrees): 10.4828 8.2928 6.3877 84.38 94.02 49.38
Element x y z (fractional)
1 Hg 0.5000 0.5000 0.5000
2 Hg 0.8655 0.8506 0.0215
3 Hg 0.0758 0.5800 0.6762
4 Hg 0.1010 0.8679 0.3228
5 Hg 0.2986 0.9941 0.5744
6 Hg 0.1345 0.1494 0.9785
7 Hg 0.9242 0.4200 0.3238
8 Hg 0.8990 0.1321 0.6772
9 Hg 0.3087 0.6759 0.9065
10 Hg 0.7014 0.0059 0.4256
11 Hg 0.6913 0.3241 0.0935
12 Hg 0.5259 0.8191 0.2030
13 Hg 0.4741 0.1809 0.7970
14 Ac 0.7295 0.6358 0.7627
15 Ac 0.2705 0.3642 0.2373

---

[3]
AcHg3: relaxed, GGA-PBE.

Calculated values
ΔH_f (0 K)   -36.54 kJ/mol of atoms
D(E_F)   6.858 states/eV/cell
Total DFT energy (no corrections)   -0.120 Ry/atom
Space-group type   Cmcm, No. 63

Lattice parameters (Å, degrees): 5.1641 6.3874 7.4139 90.00 90.00 113.84
Element x y z (fractional)
1 Hg 0.6924 0.3848 0.7500
2 Hg 0.3076 0.6152 0.2500
3 Hg 0.1210 0.2421 0.9527
4 Hg 0.8790 0.7579 0.4527
5 Hg 0.1210 0.2421 0.5473
6 Hg 0.8790 0.7579 0.0473
7 Ac 0.6058 0.2116 0.2500
8 Ac 0.3942 0.7884 0.7500

---

[4]
Ac2Hg13: relaxed, GGA-PBE.

Calculated values
ΔH_f (0 K)   -15.12 kJ/mol of atoms
D(E_F)   6.888 states/eV/cell
Total DFT energy (no corrections)   -0.071 Ry/atom
Space-group type   R-3m, No. 166

Lattice parameters (Å, degrees): 8.4683 8.4683 8.6613 60.73 60.73 60.00
Element x y z (fractional)
1 Hg 0.8110 0.8110 0.2117
2 Hg 0.8110 0.1663 0.2117
3 Hg 0.6490 0.6490 0.6638
4 Hg 0.9619 0.3510 0.3362
5 Hg 0.3510 0.9619 0.3362
6 Hg 0.1890 0.1890 0.7883
7 Hg 0.0381 0.6490 0.6638
8 Hg 0.3510 0.3510 0.3362
9 Hg 0.5000 0.5000 0.5000
10 Hg 0.6490 0.0381 0.6638
11 Hg 0.8337 0.1890 0.7883
12 Hg 0.1890 0.8337 0.7883
13 Hg 0.1663 0.8110 0.2117
14 Ac 0.6513 0.6513 0.0462
15 Ac 0.3487 0.3487 0.9538

---

[5]
Ac2Hg: relaxed, GGA-PBE.

Calculated values
ΔH_f (0 K)   -20.39 kJ/mol of atoms
D(E_F)   8.287 states/eV/cell
Total DFT energy (no corrections)   -0.224 Ry/atom
Space-group type   C2/c, No. 15

Lattice parameters (Å, degrees): 7.0474 7.0474 5.7143 102.08 102.08 118.92
Element x y z (fractional)
1 Hg 0.8655 0.1345 0.2500
2 Hg 0.1345 0.8655 0.7500
3 Ac 0.5894 0.8204 0.6145
4 Ac 0.8204 0.5894 0.1145
5 Ac 0.1796 0.4106 0.8855
6 Ac 0.4106 0.1796 0.3855

---

[6]
AcHg6: relaxed, GGA-PBE.

Calculated values
ΔH_f (0 K)   -22.42 kJ/mol of atoms
D(E_F)   5.144 states/eV/cell
Total DFT energy (no corrections)   -0.079 Ry/atom
Space-group type   P4/mmm, No. 123

Lattice parameters (Å, degrees): 5.1599 5.1599 7.6130 90.00 90.00 90.00
Element x y z (fractional)
1 Hg 0.0000 0.0000 0.5000
2 Hg 0.5000 0.0000 0.2872
3 Hg 0.5000 0.5000 0.0000
4 Hg 0.0000 0.5000 0.7128
5 Hg 0.5000 0.0000 0.7128
6 Hg 0.0000 0.5000 0.2872
7 Ac 0.0000 0.0000 0.0000

---

[7]
Ac3Hg8: relaxed, GGA-PBE.

Calculated values
ΔH_f (0 K)   -40.52 kJ/mol of atoms
D(E_F)   6.934 states/eV/cell
Total DFT energy (no corrections)   -0.129 Ry/atom
Space-group type   R-3m, No. 166

Lattice parameters (Å, degrees): 5.2279 5.2279 13.6359 78.95 78.95 60.00
Element x y z (fractional)
1 Hg 0.9160 0.9160 0.2521
2 Hg 0.7219 0.7219 0.8344
3 Hg 0.6336 0.6336 0.0991
4 Hg 0.8353 0.8353 0.4941
5 Hg 0.2781 0.2781 0.1656
6 Hg 0.0840 0.0840 0.7479
7 Hg 0.3664 0.3664 0.9009
8 Hg 0.1647 0.1647 0.5059
9 Ac 0.5488 0.5488 0.3535
10 Ac 0.0000 0.0000 0.0000
11 Ac 0.4512 0.4512 0.6465

---

[8]
Ac5Hg: relaxed, GGA-PBE.

Calculated values
ΔH_f (0 K)   -4.33 kJ/mol of atoms
D(E_F)   8.093 states/eV/cell
Total DFT energy (no corrections)   -0.259 Ry/atom
Space-group type   Cmmm, No. 65

Lattice parameters (Å, degrees): 5.4422 5.3670 8.7351 107.89 90.00 90.00
Element x y z (fractional)
1 Ac 0.0000 0.6629 0.3258
2 Ac 0.5000 0.1637 0.3274
3 Ac 0.5000 0.8363 0.6726
4 Ac 0.5000 0.5000 0.0000
5 Ac 0.0000 0.3371 0.6742
6 Hg 0.0000 0.0000 0.0000

---

[9]
Ac5Hg6: relaxed, GGA-PBE.

Calculated values
ΔH_f (0 K)   -39.19 kJ/mol of atoms
D(E_F)   7.768 states/eV/cell
Total DFT energy (no corrections)   -0.179 Ry/atom
Space-group type   Immm, No. 71

Lattice parameters (Å, degrees): 5.5790 8.1451 9.8375 114.45 106.47 90.00
Element x y z (fractional)
1 Hg 0.1700 0.4266 0.3401
2 Hg 0.5000 0.2748 0.0000
3 Hg 0.8300 0.5734 0.6599
4 Hg 0.5000 0.7252 0.0000
5 Hg 0.1700 0.9135 0.3401
6 Hg 0.8300 0.0865 0.6599
7 Ac 0.6444 0.1444 0.2889
8 Ac 0.3265 0.3265 0.6531
9 Ac 0.0000 0.5000 0.0000
10 Ac 0.6735 0.6735 0.3469
11 Ac 0.3556 0.8556 0.7111

---

[10]
AcHg: relaxed, GGA-PBE.

Calculated values
ΔH_f (0 K)   -37.58 kJ/mol of atoms
D(E_F)   5.188 states/eV/cell
Total DFT energy (no corrections)   -0.191 Ry/atom
Space-group type   P2_1/m, No. 11

Lattice parameters (Å, degrees): 4.2869 5.1912 7.0833 117.29 90.00 90.00
Element x y z (fractional)
1 Hg 0.2500 0.4542 0.3179
2 Hg 0.7500 0.5458 0.6821
3 Ac 0.7500 0.8957 0.2227
4 Ac 0.2500 0.1043 0.7773

---

[11]
Ac2HoHg3: relaxed, GGA-PBE.

Calculated values
ΔH_f (0 K)   -43.93 kJ/mol of atoms
D(E_F)   6.420 states/eV/cell
Total DFT energy (no corrections)   -0.201 Ry/atom
Space-group type   P4/mmm, No. 123

Lattice parameters (Å, degrees): 3.8530 3.8530 12.2542 90.00 90.00 90.00
Element x y z (fractional)
1 Ho 0.5000 0.5000 0.5000
2 Ac 0.5000 0.5000 0.8216
3 Ac 0.5000 0.5000 0.1784
4 Hg 0.0000 0.0000 0.3629
5 Hg 0.0000 0.0000 0.6371
6 Hg 0.0000 0.0000 0.0000

---

[12]
AcHo2Hg: relaxed, GGA-PBE.

Calculated values
ΔH_f (0 K)   -10.81 kJ/mol of atoms
D(E_F)   5.012 states/eV/cell
Total DFT energy (no corrections)   -0.258 Ry/atom
Space-group type   R3m, No. 160

Lattice parameters (Å, degrees): 3.7595 3.7595 10.9267 80.09 80.09 60.00
Element x y z (fractional)
1 Ac 0.5003 0.5003 0.4992
2 Ho 0.2627 0.2627 0.2119
3 Ho 0.0707 0.0707 0.7880
4 Hg 0.6664 0.6664 0.0009

---

[13]
AcHoHg6: relaxed, GGA-PBE.

Calculated values
ΔH_f (0 K)   -33.48 kJ/mol of atoms
D(E_F)   6.392 states/eV/cell
Total DFT energy (no corrections)   -0.122 Ry/atom
Space-group type   Amm2, No. 38

Lattice parameters (Å, degrees): 5.0808 6.9079 6.9079 119.71 90.00 90.00
Element x y z (fractional)
1 Ac 0.5000 0.4110 0.5890
2 Hg 0.5000 0.9267 0.0733
3 Hg 0.5000 0.9124 0.5873
4 Hg 0.0000 0.0549 0.3988
5 Hg 0.5000 0.4127 0.0876
6 Hg 0.0000 0.6012 0.9451
7 Hg 0.0000 0.5908 0.4092
8 Ho 0.0000 0.0901 0.9099

---

[14]
AcHoHg2: relaxed, GGA-PBE.

Calculated values
ΔH_f (0 K)   -44.30 kJ/mol of atoms
D(E_F)   3.860 states/eV/cell
Total DFT energy (no corrections)   -0.204 Ry/atom
Space-group type   P4/mmm, No. 123

Lattice parameters (Å, degrees): 3.8191 3.8191 7.9631 90.00 90.00 90.00
Element x y z (fractional)
1 Hg 0.0000 0.0000 0.7854
2 Hg 0.0000 0.0000 0.2146
3 Ho 0.5000 0.5000 0.0000
4 Ac 0.5000 0.5000 0.5000

---

[15]
AcHo2Hg: relaxed, GGA-PBE.

Calculated values
ΔH_f (0 K)   -19.37 kJ/mol of atoms
D(E_F)   5.618 states/eV/cell
Total DFT energy (no corrections)   -0.264 Ry/atom
Space-group type   P4/mmm, No. 123

Lattice parameters (Å, degrees): 3.7368 3.7368 9.0088 90.00 90.00 90.00
Element x y z (fractional)
1 Ho 0.0000 0.0000 0.7979
2 Ho 0.0000 0.0000 0.2021
3 Hg 0.5000 0.5000 0.0000
4 Ac 0.5000 0.5000 0.5000

---

[16]
Ac3Ho2Hg3: relaxed, GGA-PBE.

Calculated values
ΔH_f (0 K)   -32.97 kJ/mol of atoms
D(E_F)   9.273 states/eV/cell
Total DFT energy (no corrections)   -0.231 Ry/atom
Space-group type   Immm, No. 71

Lattice parameters (Å, degrees): 3.9348 5.6826 12.1779 103.49 99.30 90.00
Element x y z (fractional)
1 Hg 0.0000 0.5000 0.0000
2 Hg 0.1313 0.1313 0.2627
3 Hg 0.8687 0.8687 0.7373
4 Ho 0.2658 0.7658 0.5315
5 Ho 0.7342 0.2342 0.4685
6 Ac 0.5000 0.0000 0.0000
7 Ac 0.6239 0.6239 0.2477
8 Ac 0.3761 0.3761 0.7523

---

[17]
AcHo2Hg: relaxed, GGA-PBE.

Calculated values
ΔH_f (0 K)   -7.41 kJ/mol of atoms
D(E_F)   5.648 states/eV/cell
Total DFT energy (no corrections)   -0.255 Ry/atom
Space-group type   P4/mmm, No. 123

Lattice parameters (Å, degrees): 5.0629 4.9459 4.9459 90.00 90.00 90.00
Element x y z (fractional)
1 Hg 0.5000 0.5000 0.5000
2 Ac 0.5000 0.0000 0.0000
3 Ho 0.0000 0.0000 0.5000
4 Ho 0.0000 0.5000 0.0000

---

[18]
AcHoHg5: relaxed, GGA-PBE.

Calculated values
ΔH_f (0 K)   -26.13 kJ/mol of atoms
D(E_F)   4.720 states/eV/cell
Total DFT energy (no corrections)   -0.127 Ry/atom
Space-group type   Cmmm, No. 65

Lattice parameters (Å, degrees): 5.5498 5.5498 7.1085 90.00 90.00 111.13
Element x y z (fractional)
1 Hg 0.0000 0.0000 0.5000
2 Hg 0.0000 0.5000 0.7373
3 Hg 0.0000 0.5000 0.2627
4 Hg 0.5000 0.0000 0.7373
5 Hg 0.5000 0.0000 0.2627
6 Ac 0.0000 0.0000 0.0000
7 Ho 0.5000 0.5000 0.5000

---

[19]
Ac2HoHg4: relaxed, GGA-PBE.

Calculated values
ΔH_f (0 K)   -35.01 kJ/mol of atoms
D(E_F)   6.031 states/eV/cell
Total DFT energy (no corrections)   -0.174 Ry/atom
Space-group type   R-3m, No. 166

Lattice parameters (Å, degrees): 5.0631 5.0631 10.8549 76.51 76.51 60.00
Element x y z (fractional)
1 Ac 0.7534 0.7534 0.7397
2 Ac 0.2466 0.2466 0.2603
3 Hg 0.8600 0.8600 0.4199
4 Hg 0.6371 0.6371 0.0886
5 Hg 0.3629 0.3629 0.9114
6 Hg 0.1400 0.1400 0.5801
7 Ho 0.0000 0.0000 0.0000

---

[20]
AcHoHg3: relaxed, GGA-PBE.

Calculated values
ΔH_f (0 K)   -43.06 kJ/mol of atoms
D(E_F)   9.490 states/eV/cell
Total DFT energy (no corrections)   -0.174 Ry/atom
Space-group type   Cmcm, No. 63

Lattice parameters (Å, degrees): 3.7983 5.0145 14.9122 90.00 97.32 90.00
Element x y z (fractional)
1 Ho 0.2097 0.7500 0.4194
2 Ho 0.7903 0.2500 0.5806
3 Hg 0.5251 0.7500 0.0502
4 Hg 0.6871 0.2500 0.3743
5 Hg 0.3736 0.2500 0.7473
6 Hg 0.3129 0.7500 0.6257
7 Hg 0.6264 0.7500 0.2527
8 Hg 0.4749 0.2500 0.9498
9 Ac 0.0775 0.2500 0.1549
10 Ac 0.9225 0.7500 0.8451

---

| no. | V (Å³ per cell) |
| --- | --- |
| 1 | 113 |
| 2 | 413 |
| 3 | 224 |
| 4 | 444 |
| 5 | 226 |
| 6 | 203 |
| 7 | 315 |
| 8 | 243 |
| 9 | 387 |
| 10 | 140 |
| 11 | 182 |
| 12 | 131 |
| 13 | 211 |
| 14 | 116 |
| 15 | 126 |
| 16 | 261 |
| 17 | 124 |
| 18 | 204 |
| 19 | 232 |
| 20 | 282 |